# RbBeZn2 | Alexandria | GGA-PBE | relaxed
# Total magnetization   0.0000 μB per atom
data_RbBeZn2
_symmetry_space_group_name_H-M 'I 41/a m d'
_symmetry_Int_Tables_number 141
_cell_length_a 5.705
_cell_length_b 5.705
_cell_length_c 13.967
_cell_angle_alpha 90.00
_cell_angle_beta 90.00
_cell_angle_gamma 90.00
loop_
_symmetry_equiv_pos_as_xyz
'x,y,z'
'-x,-y,-z'
'-y+1/4,x+3/4,z+1/4'
'y+1/4,-x+3/4,-z+1/4'
'-x+1/2,-y,z+1/2'
'x+1/2,y,-z+1/2'
'y+1/4,-x+1/4,z+3/4'
'-y+1/4,x+1/4,-z+3/4'
'x,-y,-z'
'-x,y,z'
'-y+1/4,-x+1/4,-z+3/4'
'y+1/4,x+1/4,z+3/4'
'-x+1/2,y,-z+1/2'
'x+1/2,-y,z+1/2'
'y+1/4,x+3/4,-z+1/4'
'-y+1/4,-x+3/4,z+1/4'
'x+1/2,y+1/2,z+1/2'
'-x+1/2,-y+1/2,-z+1/2'
'-y+3/4,x+1/4,z+3/4'
'y+3/4,-x+1/4,-z+3/4'
'-x,-y+1/2,z'
'x,y+1/2,-z'
'y+3/4,-x+3/4,z+1/4'
'-y+3/4,x+3/4,-z+1/4'
'x+1/2,-y+1/2,-z+1/2'
'-x+1/2,y+1/2,z+1/2'
'-y+3/4,-x+3/4,-z+1/4'
'y+3/4,x+3/4,z+1/4'
'-x,y+1/2,-z'
'x,-y+1/2,z'
'y+3/4,x+1/4,-z+3/4'
'-y+3/4,-x+1/4,z+3/4'
loop_
_atom_site_label
_atom_site_type_symbol
_atom_site_fract_x
_atom_site_fract_y
_atom_site_fract_z
_atom_site_occupancy
Rb1 Rb 0.000 0.250 0.375 1
Be1 Be 0.000 0.250 0.875 1
Zn1 Zn 0.000 0.000 0.000 1

# Tb7InI12 | Alexandria | GGA-PBE | relaxed
# Total magnetization   0.0000 μB per atom
# ΔE_f (raw)   -1.149 eV/atom
data_Tb7InI12
_symmetry_space_group_name_H-M 'R -3'
_symmetry_Int_Tables_number 148
_symmetry_space_group_name_Hall '-R 3'
_cell_length_a 15.8851
_cell_length_b 15.8851
_cell_length_c 10.4876
_cell_angle_alpha 90.00
_cell_angle_beta 90.00
_cell_angle_gamma 120.00
loop_
_atom_site_label
_atom_site_type_symbol
_atom_site_fract_x
_atom_site_fract_y
_atom_site_fract_z
_atom_site_occupancy
Tb1 Tb 0.0000 0.0000 0.0000 1
Tb2 Tb 0.0490 0.1687 0.3396 1
In1 In 0.0000 0.0000 0.5000 1
I1 I 0.0234 0.5879 0.1656 1
I2 I 0.0525 0.1841 0.8405 1

# Ga2FeRh2 | Alexandria | GGA-PBE | relaxed
# Total magnetization   0.8043 μB per atom
# ΔE to the lowest computed polymorph   285.3 meV per atom
data_Ga2FeRh2
_symmetry_space_group_name_H-M 'I 4/m m m'
_symmetry_Int_Tables_number 139
_symmetry_space_group_name_Hall '-I 4 2'
_cell_length_a 3.527
_cell_length_b 3.527
_cell_length_c 12.547
_cell_angle_alpha 90.00
_cell_angle_beta 90.00
_cell_angle_gamma 90.00
loop_
_atom_site_label
_atom_site_type_symbol
_atom_site_fract_x
_atom_site_fract_y
_atom_site_fract_z
_atom_site_occupancy
Ga1 Ga 0.000 0.500 0.250 1
Fe1 Fe 0.000 0.000 0.000 1
Rh1 Rh 0.000 0.000 0.397 1

# ZnFe2Br | Alexandria | GGA-PBE | relaxed
# Total magnetization   1.3632 μB per atom
# ΔE_f (raw)   0.303 eV/atom
# ΔE to the lowest computed polymorph   58.6 meV per atom
data_ZnFe2Br
_symmetry_space_group_name_H-M 'P 1 2/m 1'
_symmetry_Int_Tables_number 10
_cell_length_a 3.448
_cell_length_b 3.090
_cell_length_c 6.512
_cell_angle_alpha 90.00
_cell_angle_beta 90.13
_cell_angle_gamma 90.00
loop_
_symmetry_equiv_pos_as_xyz
'x,y,z'
'-x,-y,-z'
'-x,y,-z'
'x,-y,z'
loop_
_atom_site_label
_atom_site_type_symbol
_atom_site_fract_x
_atom_site_fract_y
_atom_site_fract_z
_atom_site_occupancy
Zn1 Zn 0.000 0.000 0.000 1
Fe1 Fe 0.499 0.500 0.820 1
Br1 Br 0.500 0.000 0.500 1

# Al3IrO | Alexandria | GGA-PBE | relaxed
# Total magnetization   0.0000 μB per atom
# ΔE_f (raw)   -0.843 eV/atom
# ΔE to the lowest computed polymorph   0.0 meV per atom
data_Al3IrO
_symmetry_space_group_name_H-M 'P m -3 m'
_symmetry_Int_Tables_number 221
_symmetry_space_group_name_Hall '-P 4 2 3'
_cell_length_a 3.973
_cell_length_b 3.973
_cell_length_c 3.973
_cell_angle_alpha 90.00
_cell_angle_beta 90.00
_cell_angle_gamma 90.00
loop_
_atom_site_label
_atom_site_type_symbol
_atom_site_fract_x
_atom_site_fract_y
_atom_site_fract_z
_atom_site_occupancy
Al1 Al 0.000 0.000 0.500 1
Ir1 Ir 0.500 0.500 0.500 1
O1 O 0.000 0.000 0.000 1

# Cs2RbS | Alexandria | GGA-PBE | relaxed
# Total magnetization   0.0000 μB per atom
# ΔE_f (raw)   -0.640 eV/atom
# ΔE to the lowest computed polymorph   31.9 meV per atom
data_Cs2RbS
_symmetry_space_group_name_H-M 'I -4 2 d'
_symmetry_Int_Tables_number 122
_symmetry_space_group_name_Hall 'I -4 2bw'
_cell_length_a 13.026
_cell_length_b 13.026
_cell_length_c 6.498
_cell_angle_alpha 90.00
_cell_angle_beta 90.00
_cell_angle_gamma 90.00
loop_
_atom_site_label
_atom_site_type_symbol
_atom_site_fract_x
_atom_site_fract_y
_atom_site_fract_z
_atom_site_occupancy
Cs1 Cs 0.071 0.250 0.125 1
Rb1 Rb 0.000 0.000 0.500 1
S1 S 0.000 0.000 0.000 1

# PrTc4C2 | Alexandria | GGA-PBE | relaxed
# Total magnetization   0.0000 μB per atom
data_PrTc4C2
_symmetry_space_group_name_H-M 'C m m m'
_symmetry_Int_Tables_number 65
_symmetry_space_group_name_Hall '-C 2 2'
_cell_length_a 3.954
_cell_length_b 13.929
_cell_length_c 3.921
_cell_angle_alpha 90.00
_cell_angle_beta 90.00
_cell_angle_gamma 90.00
loop_
_atom_site_label
_atom_site_type_symbol
_atom_site_fract_x
_atom_site_fract_y
_atom_site_fract_z
_atom_site_occupancy
Pr1 Pr 0.000 0.000 0.000 1
Tc1 Tc 0.000 0.179 0.500 1
Tc2 Tc 0.000 0.314 0.000 1
C1 C 0.000 0.367 0.500 1

# Dy4TmS7 | Alexandria | GGA-PBE | relaxed
# Total magnetization   0.0000 μB per atom
# ΔE_f (raw)   -2.076 eV/atom
data_Dy4TmS7
_symmetry_space_group_name_H-M 'C 1 m 1'
_symmetry_Int_Tables_number 8
_cell_length_a 12.811
_cell_length_b 3.800
_cell_length_c 11.584
_cell_angle_alpha 90.00
_cell_angle_beta 104.71
_cell_angle_gamma 90.00
loop_
_symmetry_equiv_pos_as_xyz
'x,y,z'
'x,-y,z'
'x+1/2,y+1/2,z'
'x+1/2,-y+1/2,z'
loop_
_atom_site_label
_atom_site_type_symbol
_atom_site_fract_x
_atom_site_fract_y
_atom_site_fract_z
_atom_site_occupancy
Dy1 Dy 0.000 0.000 0.000 1
Dy2 Dy 0.088 0.500 0.389 1
Dy3 Dy 0.189 0.000 0.767 1
Dy4 Dy 0.388 0.500 0.577 1
Tm1 Tm 0.276 0.500 0.156 1
S1 S 0.048 0.500 0.629 1
S2 S 0.130 0.500 0.932 1
S3 S 0.150 0.000 0.224 1
S4 S 0.228 0.000 0.526 1
S5 S 0.347 0.500 0.793 1
S6 S 0.387 0.000 0.079 1
S7 S 0.429 0.500 0.360 1

Electronic total energy / hartree per atom: -0.0533 -0.1410 -0.2157 -0.1714 -0.2151 -0.0860 -0.3376 -0.2348